The following is a DFT calculation (PBE) of K3Ho2RhO6 after structural relaxation.

The space group is C2/m (No. 12) and the conventional cell measures 5.808, 10.050 and 6.499 Å, with angles of 90.00, 107.20 and 90.00 degrees. The distinct sites, in fractional coordinates, are K at (0.000, 0.000, 0.000), K at (0.000, 0.338, 0.000), Ho at (0.000, 0.167, 0.500), Rh at (0.000, 0.500, 0.500), O at (0.222, 0.340, 0.686) and O at (0.240, 0.000, 0.685).

Its crystal system is monoclinic. The formation energy from raw total energies is -2153 meV per atom. The volume comes out at 15.099 A^3/atom.